--- one ---
Compound: GeRuIN2
Source: the Alexandria database
Functional: GGA-PBE
Structure: relaxed

- Calculated volume: 95.2 Å³ per cell

a b c (Å): 3.7468 3.7468 6.7790
angles (deg): 90.00 90.00 90.00
Closest atoms and distances in Å follow each position.
Fractional positions:
N (0.0000, 0.5000, 0.0000)  2 Ge 1.87
N (0.5000, 0.0000, 0.0000)  2 Ge 1.87
Ge (0.0000, 0.0000, 0.0000)  4 N 1.87
I (0.0000, 0.0000, 0.5000)  4 Ru 2.65
Ru (0.5000, 0.5000, 0.5000)  4 I 2.65

--- two ---
Compound: GeRuIN2
Source: the Alexandria database
Functional: GGA-PBE
Structure: relaxed

- Calculated volume: 89.9 Å³ per cell

a b c (Å): 3.9623 3.9623 5.7237
angles (deg): 90.00 90.00 90.00
Closest atoms and distances in Å follow each position.
Fractional positions:
I (0.0000, 0.0000, 0.5000)  4 Ge 2.80, 2 Ru 2.86
N (0.0000, 0.5000, 0.0000)  2 Ru 1.98
Ru (0.0000, 0.0000, 0.0000)  4 N 1.98
N (0.5000, 0.0000, 0.0000)  2 Ru 1.98
Ge (0.5000, 0.5000, 0.5000)  4 I 2.80

Q: What are the energies relative to the best structure? A: one 49.0; two 0.0, in kJ/mol of atoms.

--- one ---
Compound: GeSb2IN
Source: the Alexandria database
Functional: GGA-PBE
Structure: relaxed

- Calculated volume: 161.4 Å³ per cell

a b c (Å): 5.4223 5.4223 5.4912
angles (deg): 90.00 90.00 90.00
Closest atoms and distances in Å follow each position.
Fractional positions:
Sb (0.0000, 0.5000, 0.0000)  2 Ge 2.71
Sb (0.5000, 0.0000, 0.0000)  2 Ge 2.71
Ge (0.0000, 0.0000, 0.0000)  4 Sb 2.71, 2 I 2.75
I (0.0000, 0.0000, 0.5000)  2 Ge 2.75
N (0.5000, 0.5000, 0.5000)  4 I 3.83, 8 Sb 3.86

--- two ---
Compound: GeSb2IN
Source: the Alexandria database
Functional: GGA-PBE
Structure: relaxed

- Calculated volume: 113.4 Å³ per cell

a b c (Å): 4.8733 4.8733 4.7760
angles (deg): 90.00 90.00 90.00
Closest atoms and distances in Å follow each position.
Fractional positions:
Ge (0.5000, 0.5000, 0.5000)  8 Sb 3.41, 4 I 3.45
Sb (0.5000, 0.0000, 0.0000)  2 N 2.44
Sb (0.0000, 0.5000, 0.0000)  2 N 2.44
N (0.0000, 0.0000, 0.0000)  2 I 2.39, 4 Sb 2.44
I (0.0000, 0.0000, 0.5000)  2 N 2.39

Q: What are the energies relative to the best structure? A: one 90.9; two 0.0, in kJ/mol of atoms.